Here is a relaxed structure of Rb3SrCd from the Alexandria database. Energies are from PBE.

Calculated values
offset from the most stable computed form: 0.000 eV per atom
energy: -0.93 eV/atom
density of states at the Fermi level: 0.772 states/eV/atom
formation energy from the elements: 0.17 eV per atom

Cell lengths 7.148, 7.148, 7.148 Å; angles 90.00, 90.00, 90.00 degrees
Sites, in units of the cell vectors:
Rb 0.000 0.000 0.500
Rb 0.000 0.500 0.000
Rb 0.500 0.000 0.000
Sr 0.500 0.500 0.500
Cd 0.000 0.000 0.000


Here is a relaxed structure of KPt3 from the Alexandria database. Energies are from PBE.

Calculated values
offset from the most stable computed form: 0.569 eV per atom
energy: -4.39 eV/atom
density of states at the Fermi level: 1.183 states/eV/atom
formation energy from the elements: 0.42 eV per atom

Cell lengths 6.535, 6.535, 4.566 Å; angles 90.00, 90.00, 120.00 degrees
Sites, in units of the cell vectors:
K 0.333 0.667 0.250
K 0.667 0.333 0.750
Pt 0.138 0.276 0.750
Pt 0.138 0.862 0.750
Pt 0.276 0.138 0.250
Pt 0.724 0.862 0.750
Pt 0.862 0.138 0.250
Pt 0.862 0.724 0.250